# V2AgPdO6 PBE+U optimized geometry
data_V2AgPdO6
_cell_length_a 12.314
_cell_length_b 9.250
_cell_length_c 5.975
_cell_angle_alpha 90.00
_cell_angle_beta 113.51
_cell_angle_gamma 90.00
_symmetry_space_group_name_H-M 'C 1 2/c 1'
_symmetry_Int_Tables_number 15
loop_
_symmetry_equiv_pos_as_xyz
'x,y,z'
'-x,-y,-z'
'-x,y,-z+1/2'
'x,-y,z+1/2'
'x+1/2,y+1/2,z'
'-x+1/2,-y+1/2,-z'
'-x+1/2,y+1/2,-z+1/2'
'x+1/2,-y+1/2,z+1/2'
loop_
_atom_site_label
_atom_site_type_symbol
_atom_site_fract_x
_atom_site_fract_y
_atom_site_fract_z
_atom_site_occupancy
V1 V 0.206 0.105 0.212 1
Ag1 Ag 0.000 0.408 0.250 1
Pd1 Pd 0.000 0.296 0.750 1
O1 O 0.115 0.253 0.120 1
O2 O 0.150 0.338 0.670 1
O3 O 0.178 0.008 0.448 1
# Total DFT energy (no corrections) in eV for the cell shown: -260.87